Crystalline UAsO at its relaxed geometry. Source: the Alexandria database, functional PBE. Values from VASP.

Structure (Quantum ESPRESSO input):
```
&SYSTEM
  ibrav = 0, nat = 3, ntyp = 3
/
ATOMIC_SPECIES
As 74.92 As.upf
U 238.03 U.upf
O 16.00 O.upf
CELL_PARAMETERS angstrom
-3.0159 0.4759 -2.8479
-1.9209 -2.9002 1.5495
-0.5998 3.5541 1.2291
ATOMIC_POSITIONS crystal
As 0.6667 0.3333 0.6667
U 0.1666 0.6667 0.3333
O 0.1667 0.0000 0.0000
```

Values from the calculation:
- ΔE_f (raw): -535 kJ/mol of formula units
- Raw total energy: -8.81 eV/atom
- Calculated volume: 17.48 Å³ per atom
- E above lowest polymorph: 0.0 meV per atom